Below is an optimized crystal structure of SmTm4Tl4, with properties calculated at the PBE-GGA level.

DFT formation energy, eV/atom: -0.14
Space group: P4_2/n (86)
Fermi-level density of states, states/eV per cell: 11.51
Magnetization, μB per cell: 0.00
Theoretical density, g/cm3: 10.47

Lattice parameters (Å, degrees): 9.5562 9.5562 5.7110 90.00 90.00 90.00
With the nearest neighbours (Å) after each atom.
Sites, in units of the cell vectors:
1 Sm 0.2500 0.2500 0.2500  4 Tl 3.23, 4 Tm 3.47
2 Sm 0.7500 0.7500 0.7500  4 Tl 3.23, 4 Tm 3.47
3 Tm 0.0987 0.8306 0.6491  4 Tl 3.12-3.25, 1 Tm 3.28, 1 Sm 3.47
4 Tm 0.1694 0.5987 0.1491  4 Tl 3.12-3.25, 1 Tm 3.28, 1 Sm 3.47
5 Tm 0.3306 0.9013 0.1491  4 Tl 3.12-3.25, 1 Tm 3.28, 1 Sm 3.47
6 Tm 0.4013 0.6694 0.6491  4 Tl 3.12-3.25, 1 Tm 3.28, 1 Sm 3.47
7 Tm 0.5987 0.3306 0.3509  4 Tl 3.12-3.25, 1 Tm 3.28, 1 Sm 3.47
8 Tm 0.6694 0.0987 0.8509  4 Tl 3.12-3.25, 1 Tm 3.28, 1 Sm 3.47
9 Tm 0.8306 0.4013 0.8509  4 Tl 3.12-3.25, 1 Tm 3.28, 1 Sm 3.47
10 Tm 0.9013 0.1694 0.3509  4 Tl 3.12-3.25, 1 Tm 3.28, 1 Sm 3.47
11 Tl 0.0385 0.1445 0.8445  4 Tm 3.12-3.25, 1 Sm 3.23, 3 Tl 3.37
12 Tl 0.1445 0.4615 0.6555  4 Tm 3.12-3.25, 1 Sm 3.23, 3 Tl 3.37
13 Tl 0.3555 0.0385 0.6555  4 Tm 3.12-3.25, 1 Sm 3.23, 3 Tl 3.37
14 Tl 0.4615 0.3555 0.8445  4 Tm 3.12-3.25, 1 Sm 3.23, 3 Tl 3.37
15 Tl 0.5385 0.6445 0.1555  4 Tm 3.12-3.25, 1 Sm 3.23, 3 Tl 3.37
16 Tl 0.6445 0.9615 0.3445  4 Tm 3.12-3.25, 1 Sm 3.23, 3 Tl 3.37
17 Tl 0.8555 0.5385 0.3445  4 Tm 3.12-3.25, 1 Sm 3.23, 3 Tl 3.37
18 Tl 0.9615 0.8555 0.1555  4 Tm 3.12-3.25, 1 Sm 3.23, 3 Tl 3.37

Below is an optimized crystal structure of MnAl2Cu2, with properties calculated at the PBE-GGA level.

DFT formation energy, eV/atom: 0.05
Distance to the lowest polymorph of the same formula, kcal/mol of atoms: 3.80
Space group: P4/mbm (127)
Fermi-level density of states, states/eV per cell: 9.73
Magnetization, μB per cell: 0.00
Theoretical density, g/cm3: 6.04

Lattice parameters (Å, degrees): 6.9629 6.9629 2.6752 90.00 90.00 90.00
With the nearest neighbours (Å) after each atom.
Sites, in units of the cell vectors:
1 Mn 0.0000 0.0000 0.0000  2 Mn 2.68, 4 Cu 2.76, 8 Al 2.89
2 Mn 0.5000 0.5000 0.0000  2 Mn 2.68, 4 Cu 2.76, 8 Al 2.89
3 Al 0.1768 0.3232 0.5000  6 Cu 2.38-2.51
4 Al 0.3232 0.8232 0.5000  6 Cu 2.38-2.51
5 Al 0.6768 0.1768 0.5000  6 Cu 2.38-2.51
6 Al 0.8232 0.6768 0.5000  6 Cu 2.38-2.51
7 Cu 0.1232 0.6232 0.0000  6 Al 2.38-2.51, 1 Cu 2.43
8 Cu 0.3768 0.1232 0.0000  6 Al 2.38-2.51, 1 Cu 2.43
9 Cu 0.6232 0.8768 0.0000  6 Al 2.38-2.51, 1 Cu 2.43
10 Cu 0.8768 0.3768 0.0000  6 Al 2.38-2.51, 1 Cu 2.43

Below is an optimized crystal structure of PuP2S6, with properties calculated at the PBE-GGA level.

Space group: R3 (146)
Uncorrected formation energy, eV per atom: -0.547
Fermi-level density of states, states/eV per cell: 9.67
Magnetization, μB per cell: 4.00
Theoretical density, g/cm3: 3.25

Lattice parameters (Å, degrees): 8.1431 8.1431 8.1431 45.98 45.98 45.98
With the nearest neighbours (Å) after each atom.
Sites, in units of the cell vectors:
1 Pu 0.0000 0.0000 0.0000  6 S 2.73
2 P 0.2818 0.2818 0.2818  3 S 2.04, 1 P 2.24
3 P 0.3845 0.3845 0.3845  3 S 2.04, 1 P 2.24
4 S 0.1139 0.3946 0.7267  1 P 2.04
5 S 0.2342 0.9583 0.5706  1 P 2.04
6 S 0.3946 0.7267 0.1139  1 P 2.04
7 S 0.5706 0.2342 0.9583  1 P 2.04
8 S 0.7267 0.1139 0.3946  1 P 2.04
9 S 0.9583 0.5706 0.2342  1 P 2.04

> Which of these has the lowest Fermi-level density of states?

PuP2S6